[1]
The following is a DFT calculation (meta-GGA SCAN) of a crystal of ZrNbIr2 relaxed with PBEsol.

Structure (POSCAR):
```
ZrNbIr2
1.0
-0.855 4.476 0.181
-4.300 1.490 0.296
-1.500 1.880 3.875
Zr Ir Nb
1 2 1
Direct
0.000 0.000 0.000
0.250 0.250 0.250
0.750 0.750 0.750
0.500 0.500 0.500
```

Computed properties:
* symmetry: Fm-3m
* formation enthalpy at 0 K: -0.585 eV/atom

---

[2]
The following is a DFT calculation (meta-GGA SCAN) of a crystal of NdIr3 relaxed with PBEsol.

Structure (POSCAR):
```
NdIr3
1.0
5.315 0.000 0.000
2.658 4.603 0.000
2.658 1.534 8.742
Ir Nd
9 3
Direct
0.421 0.916 0.243
0.084 0.579 0.757
0.579 0.084 0.757
0.916 0.421 0.243
0.421 0.421 0.243
0.332 0.332 0.003
0.579 0.579 0.757
0.668 0.668 0.997
0.500 0.500 0.500
0.000 0.000 0.000
0.140 0.140 0.580
0.860 0.860 0.420
```

Computed properties:
* symmetry: R-3m
* formation enthalpy at 0 K: -0.643 eV/atom

---

[3]
The following is a DFT calculation (meta-GGA SCAN) of a crystal of Nd5Ir3 relaxed with PBEsol.

Structure (POSCAR):
```
Nd5Ir3
1.0
-5.940 2.126 1.224
-2.135 0.311 -10.897
-3.664 -10.478 0.419
Nd Ir
20 12
Direct
0.878 0.410 0.209
0.878 0.590 0.791
0.378 0.410 0.791
0.500 0.500 0.500
0.878 0.709 0.090
0.000 0.000 0.000
0.622 0.209 0.410
0.378 0.590 0.209
0.878 0.291 0.910
0.122 0.090 0.291
0.622 0.090 0.709
0.122 0.910 0.709
0.378 0.291 0.090
0.378 0.709 0.910
0.122 0.209 0.590
0.122 0.791 0.410
0.500 0.000 0.000
0.622 0.910 0.291
0.000 0.500 0.500
0.622 0.791 0.590
0.882 0.000 0.500
0.250 0.654 0.654
0.382 0.000 0.500
0.750 0.846 0.846
0.250 0.346 0.346
0.250 0.846 0.154
0.250 0.154 0.846
0.618 0.500 0.000
0.750 0.654 0.346
0.750 0.154 0.154
0.750 0.346 0.654
0.118 0.500 0.000
```

Computed properties:
* symmetry: P4/ncc
* formation enthalpy at 0 K: -0.784 eV/atom

---

[4]
The following is a DFT calculation (meta-GGA SCAN) of a crystal of Nd5Ir2 relaxed with PBEsol.

Structure (POSCAR):
```
Nd5Ir2
1.0
6.577 0.000 0.000
0.000 7.233 0.013
-3.289 -0.991 8.126
Ir Nd
4 10
Direct
0.404 0.575 0.223
0.818 0.075 0.223
0.182 0.925 0.777
0.596 0.425 0.777
0.204 0.921 0.184
0.429 0.250 0.000
0.352 0.685 0.562
0.648 0.315 0.438
0.020 0.579 0.816
0.796 0.079 0.816
0.790 0.815 0.438
0.571 0.750 0.000
0.980 0.421 0.184
0.210 0.185 0.562
```

Computed properties:
* symmetry: C2/c
* formation enthalpy at 0 K: -0.655 eV/atom

---

[5]
The following is a DFT calculation (meta-GGA SCAN) of a crystal of Nd2NiIr relaxed with PBEsol.

Structure (POSCAR):
```
Nd2NiIr
1.0
4.904 0.000 0.000
2.452 4.247 0.000
2.452 1.416 4.004
Ni Nd Ir
1 2 1
Direct
0.500 0.500 0.500
0.250 0.250 0.250
0.750 0.750 0.750
0.000 0.000 0.000
```

Computed properties:
* symmetry: Fm-3m
* formation enthalpy at 0 K: -0.501 eV/atom

---

[6]
The following is a DFT calculation (meta-GGA SCAN) of a crystal of Nd2Ir2O7 relaxed with PBEsol.

Structure (POSCAR):
```
Nd2Ir2O7
1.0
7.312 0.000 0.000
3.656 6.332 0.000
3.656 2.111 5.970
O Nd Ir
14 4 4
Direct
0.457 0.457 0.043
0.043 0.457 0.457
0.793 0.207 0.793
0.793 0.207 0.207
0.043 0.457 0.043
0.457 0.043 0.457
0.207 0.207 0.793
0.457 0.043 0.043
0.207 0.793 0.793
0.207 0.793 0.207
0.750 0.750 0.750
0.500 0.500 0.500
0.043 0.043 0.457
0.793 0.793 0.207
0.125 0.625 0.625
0.625 0.125 0.625
0.625 0.625 0.625
0.625 0.625 0.125
0.125 0.125 0.125
0.125 0.625 0.125
0.625 0.125 0.125
0.125 0.125 0.625
```

Computed properties:
* symmetry: Fd-3m
* raw total energy: -27.04 eV per atom

---

no.,DOS at the Fermi energy (states/eV/f.u.)
1,5.113
2,3.302
3,5.297
4,6.383
5,2.259
6,3.674